Hf2InNi2 | the Alexandria database | PBE | relaxed; energy = -34.886 eV/f.u.; M_tot = 0.00 μB/cell; E_form = -0.136 eV per atom; calculated density = 10.8 g/cm³
1.0
7.6947 0.0000 0.0000
0.0000 7.6947 0.0000
0.0000 0.0000 3.0675
Hf In Ni
4 2 4
Direct
0.1522 0.3478 0.0000
0.3478 0.8478 0.0000
0.6522 0.1522 0.0000
0.8478 0.6522 0.0000
0.0000 0.0000 0.0000
0.5000 0.5000 0.0000
0.1305 0.6305 0.5000
0.3695 0.1305 0.5000
0.6305 0.8695 0.5000
0.8695 0.3695 0.5000

---

Mo2PtSe | the Alexandria database | PBE | relaxed; energy = -30.619 eV/f.u.; raw formation energy = 0.1421 eV per atom; M_tot = 0.00 μB/cell; calculated density = 12.0 g/cm³
1.0
2.9522 0.0000 0.0000
0.0000 4.0651 0.0000
-1.4322 0.0000 5.3623
Mo Pt Se
2 1 1
Direct
0.1276 0.0000 0.2497
0.8724 0.0000 0.7503
0.5000 0.5000 0.0000
0.5000 0.5000 0.5000

---

Nd7Sm2Y2 | the Alexandria database | PBE | relaxed; energy = -54.283 eV/f.u.; M_tot = 0.00 μB/cell; E_form = 0.133 eV per atom; calculated density = 6.4 g/cm³; energy above the lowest structure with this stoichiometry = 0.00 eV per formula unit
1.0
4.2950 -5.5584 0.0000
4.2950 5.5584 0.0000
-2.2778 0.0000 8.0417
Nd Sm Y
7 2 2
Direct
0.0000 0.0000 0.0000
0.0948 0.5068 0.8320
0.4264 0.4264 0.1845
0.4932 0.9052 0.1680
0.5068 0.0948 0.8320
0.5736 0.5736 0.8155
0.9052 0.4932 0.1680
0.2828 0.7172 0.5000
0.7172 0.2828 0.5000
0.1929 0.1929 0.4708
0.8071 0.8071 0.5292

---

TeMoPS2 | the Alexandria database | PBE | relaxed; energy = -26.251 eV/f.u.; raw formation energy = 0.2773 eV per atom; M_tot = 0.00 μB/cell; calculated density = 5.0 g/cm³; energy above the lowest structure with this stoichiometry = 0.00 eV per formula unit
1.0
4.5692 0.0000 0.0000
0.0000 4.5692 0.0000
0.0000 0.0000 5.1088
Te Mo P S
1 1 1 2
Direct
0.0000 0.0000 0.0000
0.5000 0.5000 0.5000
0.5000 0.5000 0.0000
0.0000 0.5000 0.5000
0.5000 0.0000 0.5000

---

TlRh2F11 | the Alexandria database | PBE | relaxed; energy = -58.148 eV/f.u.; raw formation energy = -1.4639 eV per atom; M_tot = 4.18 μB/cell; calculated density = 5.1 g/cm³
1.0
-4.3997 4.4095 5.1710
4.3997 -4.4095 5.1710
4.3997 4.4095 -5.1710
Tl Rh F
2 4 22
Direct
0.2500 0.2500 0.0000
0.7500 0.7500 0.0000
0.1628 0.6624 0.8252
0.3372 0.1624 0.4996
0.6628 0.8376 0.5004
0.8372 0.3376 0.1748
0.0000 0.5000 0.5000
0.0827 0.3605 0.1743
0.0914 0.9169 0.2770
0.1400 0.4169 0.8255
0.1861 0.9083 0.8257
0.1898 0.3097 0.4995
0.3102 0.8097 0.1198
0.3139 0.1395 0.7222
0.3600 0.1856 0.2770
0.4086 0.6856 0.8255
0.4173 0.5917 0.2778
0.5000 0.0000 0.5000
0.5827 0.4083 0.7222
0.5914 0.3144 0.1745
0.6400 0.8144 0.7230
0.6861 0.8605 0.2778
0.6898 0.1903 0.8802
0.8102 0.6903 0.5005
0.8139 0.0917 0.1743
0.8600 0.5831 0.1745
0.9086 0.0831 0.7230
0.9173 0.6395 0.8257

---

LaHgPt2 | the Alexandria database | PBE | relaxed; energy = -19.311 eV/f.u.; M_tot = 0.00 μB/cell; E_form = -0.500 eV per atom; calculated density = 14.0 g/cm³
1.0
0.0000 3.5116 3.5116
3.5116 0.0000 3.5116
3.5116 3.5116 0.0000
La Hg Pt
1 1 2
Direct
0.0000 0.0000 0.0000
0.7500 0.7500 0.7500
0.2500 0.2500 0.2500
0.5000 0.5000 0.5000

---

BaSi3S | the Alexandria database | PBE | relaxed; energy = -20.587 eV/f.u.; raw formation energy = 0.3465 eV per atom; M_tot = 0.00 μB/cell; calculated density = 3.5 g/cm³; energy above the lowest structure with this stoichiometry = 0.00 eV per formula unit
1.0
4.9401 0.0000 0.0000
0.0000 4.9401 0.0000
0.0000 0.0000 4.9401
Ba Si S
1 3 1
Direct
0.0000 0.0000 0.0000
0.0000 0.5000 0.5000
0.5000 0.0000 0.5000
0.5000 0.5000 0.0000
0.5000 0.5000 0.5000

---

TaZnS | the Alexandria database | PBE | relaxed; energy = -18.239 eV/f.u.; raw formation energy = -0.3282 eV per atom; M_tot = 0.00 μB/cell; calculated density = 9.0 g/cm³
1.0
4.2952 -1.5918 0.0000
4.2952 1.5918 0.0000
-2.0242 0.0000 7.5464
Ta Zn S
2 2 2
Direct
0.1798 0.1798 0.1446
0.8202 0.8202 0.8554
0.3745 0.3745 0.5661
0.6255 0.6255 0.4339
0.1017 0.1017 0.8236
0.8983 0.8983 0.1764

---

Cs2LiMnI6 | the Alexandria database | PBE | relaxed; energy = -31.805 eV/f.u.; raw formation energy = -0.9713 eV per atom; M_tot = 4.00 μB/cell; calculated density = 4.5 g/cm³; energy above the lowest structure with this stoichiometry = 0.35 eV per formula unit
1.0
0.0000 5.8404 5.8404
5.8404 0.0000 5.8404
5.8404 5.8404 0.0000
Cs Li Mn I
2 1 1 6
Direct
0.2500 0.2500 0.2500
0.7500 0.7500 0.7500
0.0000 0.0000 0.0000
0.5000 0.5000 0.5000
0.2592 0.2592 0.7408
0.2592 0.7408 0.2592
0.2592 0.7408 0.7408
0.7408 0.2592 0.2592
0.7408 0.2592 0.7408
0.7408 0.7408 0.2592

---

SrLa2InN | the Alexandria database | PBE | relaxed; energy = -26.451 eV/f.u.; raw formation energy = -0.7700 eV per atom; M_tot = 0.00 μB/cell; calculated density = 5.9 g/cm³
1.0
5.1312 0.0000 0.0000
0.0000 5.1312 0.0000
0.0000 0.0000 5.2874
Sr La In N
1 2 1 1
Direct
0.0000 0.0000 0.0000
0.0000 0.5000 0.5000
0.5000 0.0000 0.5000
0.5000 0.5000 0.0000
0.0000 0.0000 0.5000

---

RbV2ZnCl8 | the Alexandria database | PBE | relaxed; energy = -48.522 eV/f.u.; raw formation energy = -1.1058 eV per atom; M_tot = 2.97 μB/cell; calculated density = 2.6 g/cm³
1.0
6.7169 0.0000 0.0000
0.6500 7.0120 0.0000
0.0290 0.0251 7.3051
Rb V Zn Cl
1 2 1 8
Direct
0.0000 0.0000 0.0000
0.5000 0.5000 0.2539
0.5000 0.5000 0.7461
0.0000 0.0000 0.5000
0.2831 0.4163 0.0011
0.2838 0.4142 0.5011
0.3486 0.8023 0.2525
0.3487 0.8024 0.7464
0.6513 0.1976 0.2536
0.6514 0.1977 0.7475
0.7162 0.5858 0.4989
0.7169 0.5837 0.9989

---

NdMgZn | the Alexandria database | PBE | relaxed; energy = -8.017 eV/f.u.; M_tot = 0.00 μB/cell; E_form = -0.127 eV per atom; calculated density = 5.4 g/cm³
1.0
3.4993 0.0000 0.0000
0.0000 3.4993 0.0000
0.0000 0.0000 11.7851
Nd Mg Zn
2 2 2
Direct
0.2500 0.2500 0.1218
0.7500 0.7500 0.8782
0.2500 0.2500 0.4188
0.7500 0.7500 0.5812
0.2500 0.2500 0.7061
0.7500 0.7500 0.2939

---

> calculated density of number 2 (Mo2PtSe)?

12.0 g/cm³